Below is a relaxed structure of Np2FeCuO8, with properties calculated at the GGA+U level.

Unit cell a=4.660 b=4.660 c=6.951 alpha=90.00 beta=90.00 gamma=90.67
Each line ends with the local moment (μB).
Fractional positions:
Cu: 0.000 0.000 0.000  -0.30
O: 0.698 0.699 0.000  -0.09
O: 0.700 0.701 0.500  0.02
Np: 0.500 0.500 0.751  1.57
Fe: 0.000 0.000 0.500  4.30
O: 0.798 0.203 0.268  -0.02
O: 0.798 0.203 0.732  -0.02
O: 0.302 0.301 0.000  -0.09
O: 0.202 0.797 0.732  -0.02
Np: 0.500 0.500 0.249  1.57
O: 0.300 0.299 0.500  0.02
O: 0.202 0.797 0.268  -0.02

The calculation puts the calculated total energy at -8.420 eV/atom.